Compound: BaScZnAs2
Source: Alexandria via LeMat-Bulk
Functional: PBE-GGA
Structure: optimized geometry

Computed properties:
final energy = -4.58 eV per atom

Cell lengths 5.852, 7.735, 6.428 Å; angles 114.47, 90.00, 90.00 degrees
Element x y z (fractional)
Ba 0.231 0.500 0.750
Ba 0.769 0.500 0.250
Sc 0.500 0.000 0.250
Sc 0.500 0.000 0.750
Zn 0.000 0.000 0.000
Zn 0.000 0.000 0.500
As 0.726 0.752 0.876
As 0.726 0.248 0.624
As 0.274 0.752 0.376
As 0.274 0.248 0.124